# 1
The following is a DFT calculation (PBE) of a relaxed LiThGaPd2 crystal.

Output
Magnetic moment   0.00 μB/f.u.
Formation energy   -66 kJ per mole of atoms

a b c (Å): 3.890 3.890 12.661
angles (deg): 90.00 90.00 90.00
Space group I-4m2 (No. 119)
Unique sites:
Li 0.000 0.000 0.000 [2 per cell]
Th 0.000 0.500 0.750 [2 per cell]
Ga 0.000 0.000 0.500 [2 per cell]
Pd 0.000 0.500 0.142 [4 per cell]

=====

# 2
The following is a DFT calculation (PBE) of a relaxed Li2TmGaPd4 crystal.

Output
Magnetic moment   0.00 μB/f.u.
Formation energy   -67 kJ per mole of atoms

a b c (Å): 4.4432 4.4432 22.1380
angles (deg): 90.00 90.00 120.00
Space group R-3m (No. 166, hexagonal axes)
Unique sites:
Li 0.0000 0.0000 0.2464 [6 per cell]
Tm 0.0000 0.0000 0.0000 [3 per cell]
Ga 0.0000 0.0000 0.5000 [3 per cell]
Pd 0.0000 0.0000 0.1293 [6 per cell]
Pd 0.0000 0.0000 0.3853 [6 per cell]

=====

# 3
The following is a DFT calculation (PBE) of a relaxed LiTmGa2Pd2 crystal.

Output
Magnetic moment   0.00 μB/f.u.
Formation energy   -70 kJ per mole of atoms

a b c (Å): 4.3897 4.3897 6.2761
angles (deg): 90.00 90.00 120.00
Space group P-3m1 (No. 164)
Unique sites:
Li 0.0000 0.0000 0.0000 [1 per cell]
Tm 0.0000 0.0000 0.5000 [1 per cell]
Ga 0.3333 0.6667 0.8007 [2 per cell]
Pd 0.3333 0.6667 0.2223 [2 per cell]

=====

# 4
The following is a DFT calculation (PBE) of a relaxed Li2TmGa2Pd2 crystal.

Output
Magnetic moment   0.00 μB/f.u.
Formation energy   -53 kJ per mole of atoms

a b c (Å): 7.769 4.439 7.335
angles (deg): 90.00 109.50 90.00
Space group C2/m (No. 12)
Unique sites:
Li 0.077 0.000 0.225 [4 per cell]
Tm 0.000 0.500 0.500 [2 per cell]
Ga 0.141 0.500 0.925 [4 per cell]
Pd 0.233 0.000 0.707 [4 per cell]

=====

# 5
The following is a DFT calculation (PBE) of a relaxed LiGaPd2W crystal.

Output
Magnetic moment   0.41 μB/f.u.
Formation energy   58 kJ per mole of atoms

a b c (Å): 4.115 4.115 4.351
angles (deg): 90.00 90.00 90.00
Space group P4/mmm (No. 123)
Unique sites:
Li 0.000 0.000 0.000 [1 per cell]
Ga 0.000 0.000 0.500 [1 per cell]
Pd 0.000 0.500 0.000 [2 per cell]
W 0.500 0.500 0.500 [1 per cell]

=====

# 6
The following is a DFT calculation (PBE) of a relaxed Li2YGaPd4 crystal.

Output
Magnetic moment   0.00 μB/f.u.
Formation energy   -64 kJ per mole of atoms

a b c (Å): 4.4481 4.4481 22.6033
angles (deg): 90.00 90.00 120.00
Space group R-3m (No. 166, hexagonal axes)
Unique sites:
Li 0.0000 0.0000 0.2451 [6 per cell]
Y 0.0000 0.0000 0.0000 [3 per cell]
Ga 0.0000 0.0000 0.5000 [3 per cell]
Pd 0.0000 0.0000 0.1300 [6 per cell]
Pd 0.0000 0.0000 0.3887 [6 per cell]

=====

# 7
The following is a DFT calculation (PBE) of a relaxed LiYGa2Pd4 crystal.

Output
Magnetic moment   0.00 μB/f.u.
Formation energy   -72 kJ per mole of atoms

a b c (Å): 4.3348 4.3348 24.4032
angles (deg): 90.00 90.00 120.00
Space group R-3m (No. 166, hexagonal axes)
Unique sites:
Li 0.0000 0.0000 0.0000 [3 per cell]
Y 0.0000 0.0000 0.5000 [3 per cell]
Ga 0.0000 0.0000 0.2607 [6 per cell]
Pd 0.0000 0.0000 0.1010 [6 per cell]
Pd 0.0000 0.0000 0.3704 [6 per cell]

=====

# 8
The following is a DFT calculation (PBE) of a relaxed Li2YGa2Pd2 crystal.

Output
Magnetic moment   0.00 μB/f.u.
Formation energy   -53 kJ per mole of atoms

a b c (Å): 7.713 4.433 7.604
angles (deg): 90.00 109.30 90.00
Space group C2/m (No. 12)
Unique sites:
Li 0.075 0.000 0.221 [4 per cell]
Y 0.000 0.500 0.500 [2 per cell]
Ga 0.137 0.500 0.914 [4 per cell]
Pd 0.243 0.000 0.733 [4 per cell]

=====

# 9
The following is a DFT calculation (PBE) of a relaxed LiY2Ga6Pd crystal.

Output
Magnetic moment   0.00 μB/f.u.
Formation energy   -37 kJ per mole of atoms

a b c (Å): 5.617 6.461 7.247
angles (deg): 66.30 67.30 64.26
Space group P-1 (No. 2)
Unique sites:
Li 0.000 0.000 0.000 [1 per cell]
Y 0.167 0.417 0.247 [2 per cell]
Ga 0.145 0.886 0.349 [2 per cell]
Ga 0.253 0.708 0.788 [2 per cell]
Ga 0.381 0.114 0.651 [2 per cell]
Pd 0.500 0.500 0.500 [1 per cell]

=====

# 10
The following is a DFT calculation (PBE) of a relaxed LiY2GaPd crystal.

Output
Magnetic moment   0.00 μB/f.u.
Formation energy   1 kJ per mole of atoms

a b c (Å): 5.503 5.503 4.641
angles (deg): 90.00 90.00 90.00
Space group P4/mmm (No. 123)
Unique sites:
Li 0.000 0.000 0.000 [1 per cell]
Y 0.000 0.500 0.500 [2 per cell]
Ga 0.500 0.500 0.500 [1 per cell]
Pd 0.500 0.500 0.000 [1 per cell]

=====

# 11
The following is a DFT calculation (PBE) of a relaxed LiY2Ga4Pd3 crystal.

Output
Magnetic moment   0.00 μB/f.u.
Formation energy   -68 kJ per mole of atoms

a b c (Å): 4.013 4.013 11.580
angles (deg): 90.00 90.00 90.00
Space group P-4m2 (No. 115)
Unique sites:
Li 0.000 0.000 0.000 [1 per cell]
Y 0.000 0.500 0.746 [2 per cell]
Ga 0.000 0.000 0.500 [1 per cell]
Ga 0.000 0.500 0.139 [2 per cell]
Ga 0.500 0.500 0.500 [1 per cell]
Pd 0.000 0.500 0.357 [2 per cell]
Pd 0.500 0.500 0.000 [1 per cell]

=====

# 12
The following is a DFT calculation (PBE) of a relaxed Li2Y2GaPd5 crystal.

Output
Magnetic moment   0.00 μB/f.u.
Formation energy   -66 kJ per mole of atoms

a b c (Å): 9.618 9.618 3.594
angles (deg): 90.00 90.00 90.00
Space group P4/mbm (No. 127)
Unique sites:
Li 0.122 0.378 0.000 [4 per cell]
Y 0.178 0.678 0.000 [4 per cell]
Ga 0.000 0.000 0.000 [2 per cell]
Pd 0.000 0.500 0.500 [2 per cell]
Pd 0.065 0.203 0.500 [8 per cell]